A plane-wave DFT calculation with GGA-PBE was carried out for PtRhN after structural relaxation.

Unit cell a=10.086 b=10.086 c=10.086 alpha=163.91 beta=163.76 gamma=22.94
Fractional positions:
Pt 0.200 0.200 0.000
Pt 0.800 0.800 0.000
Rh 0.399 0.399 0.000
Rh 0.601 0.601 0.000
N 0.031 0.531 0.500
N 0.969 0.469 0.500

Calculated values
Fermi-level density of states in states/eV/f.u.: 3.8
ρ in kg/m³: 13031
Formation energy without anion corrections in eV per atom: 0.173
Symmetry: Immm (71)
V in Å³/f.u.: 39.8
Excess energy over the best structure of this formula in the dataset in eV/atom: 0.0000
Total magnetization in μB/atom: 0.000